Record 1
The following is a DFT calculation (PBE) of crystalline DyCd3Ag2 at its relaxed geometry.

abc: 4.375 9.595 7.507
angles: 118.37 90.00 103.18
Element x y z (fractional)
Dy 0.888 0.775 0.935
Dy 0.112 0.225 0.065
Ag 0.483 0.966 0.801
Ag 0.517 0.034 0.199
Ag 0.242 0.484 0.813
Ag 0.758 0.516 0.187
Cd 0.631 0.262 0.775
Cd 0.071 0.142 0.466
Cd 0.369 0.738 0.225
Cd 0.694 0.387 0.475
Cd 0.306 0.613 0.525
Cd 0.929 0.858 0.534

Computed properties:
space-group type = C2/m, No. 12
energy above the most stable polymorph in this dataset = 0 meV/atom
final energy = -28.02 eV/cell

Record 2
The following is a DFT calculation (PBE) of crystalline Dy3Cd3Ag at its relaxed geometry.

abc: 4.923 3.437 10.781
angles: 99.17 103.20 90.00
Element x y z (fractional)
Cd 0.567 0.567 0.133
Cd 0.144 0.644 0.287
Cd 0.858 0.358 0.716
Ag 0.432 0.432 0.864
Dy 0.995 0.995 0.990
Dy 0.701 0.201 0.402
Dy 0.304 0.804 0.607

Computed properties:
space-group type = Imm2, No. 44
final energy = -21.27 eV/cell

Record 3
The following is a DFT calculation (PBE) of crystalline Dy3CdAg2 at its relaxed geometry.

abc: 3.666 3.666 11.034
angles: 90.00 90.00 90.00
Element x y z (fractional)
Ag 0.500 0.500 0.834
Ag 0.500 0.500 0.166
Cd 0.500 0.500 0.500
Dy 0.000 0.000 0.327
Dy 0.000 0.000 0.673
Dy 0.000 0.000 0.000

Computed properties:
space-group type = P4/mmm, No. 123
final energy = -22.33 eV/cell

Record 4
The following is a DFT calculation (PBE) of crystalline Dy6CdAg at its relaxed geometry.

abc: 8.842 8.384 6.097
angles: 46.48 43.45 58.11
Element x y z (fractional)
Dy 0.753 0.976 0.724
Dy 0.975 0.546 0.231
Dy 0.247 0.024 0.276
Dy 0.025 0.454 0.769
Dy 0.546 0.247 0.181
Dy 0.454 0.753 0.819
Ag 0.000 0.000 0.000
Cd 0.500 0.500 0.500

Computed properties:
space-group type = P-1, No. 2
energy above the most stable polymorph in this dataset = 103 meV/atom
final energy = -31.65 eV/cell

Record 5
The following is a DFT calculation (PBE) of crystalline Dy3Cd12Ag at its relaxed geometry.

abc: 4.555 4.555 17.903
angles: 90.00 90.00 90.00
Element x y z (fractional)
Cd 0.500 0.000 0.631
Cd 0.000 0.500 0.369
Cd 0.500 0.500 0.764
Cd 0.500 0.000 0.369
Cd 0.000 0.500 0.887
Cd 0.500 0.500 0.000
Cd 0.500 0.500 0.500
Cd 0.000 0.500 0.113
Cd 0.000 0.500 0.631
Cd 0.500 0.500 0.236
Cd 0.500 0.000 0.113
Cd 0.500 0.000 0.887
Ag 0.000 0.000 0.000
Dy 0.000 0.000 0.500
Dy 0.000 0.000 0.762
Dy 0.000 0.000 0.238

Computed properties:
space-group type = P4/mmm, No. 123
final energy = -30.90 eV/cell

Record 6
The following is a DFT calculation (PBE) of crystalline DyCdAg at its relaxed geometry.

abc: 3.780 3.780 5.530
angles: 109.99 109.99 90.00
Element x y z (fractional)
Ag 0.277 0.277 0.554
Dy 0.948 0.948 0.896
Cd 0.625 0.625 0.250

Computed properties:
space-group type = I4mm, No. 107
final energy = -9.11 eV/cell

Record 7
The following is a DFT calculation (PBE) of crystalline DyCdAg6 at its relaxed geometry.

abc: 4.382 4.382 8.218
angles: 90.00 90.00 90.00
Element x y z (fractional)
Ag 0.500 0.000 0.740
Ag 0.000 0.500 0.740
Ag 0.500 0.500 0.000
Ag 0.500 0.000 0.260
Ag 0.000 0.500 0.260
Ag 0.500 0.500 0.500
Dy 0.000 0.000 0.000
Cd 0.000 0.000 0.500

Computed properties:
space-group type = P4/mmm, No. 123
final energy = -23.20 eV/cell

Record 8
The following is a DFT calculation (PBE) of crystalline Dy2Cd15Ag2 at its relaxed geometry.

abc: 7.604 7.604 7.604
angles: 81.72 81.72 81.72
Element x y z (fractional)
Cd 0.157 0.638 0.638
Cd 0.638 0.157 0.638
Cd 0.362 0.843 0.362
Cd 0.000 0.500 0.000
Cd 0.000 0.704 0.296
Cd 0.704 0.296 0.000
Cd 0.296 0.000 0.704
Cd 0.500 0.000 0.000
Cd 0.704 0.000 0.296
Cd 0.362 0.362 0.843
Cd 0.000 0.296 0.704
Cd 0.843 0.362 0.362
Cd 0.296 0.704 0.000
Cd 0.000 0.000 0.500
Cd 0.638 0.638 0.157
Ag 0.895 0.895 0.895
Ag 0.105 0.105 0.105
Dy 0.671 0.671 0.671
Dy 0.329 0.329 0.329

Computed properties:
space-group type = R-3m, No. 166
final energy = -30.34 eV/cell

| no. | V (Å³ per cell) | formation enthalpy at 0 K (eV/atom) |
| --- | --- | --- |
| 1 | 267.80 | -0.1601 |
| 2 | 175.18 | -0.2668 |
| 3 | 148.30 | -0.3185 |
| 4 | 225.02 | -0.0337 |
| 5 | 371.48 | -0.2035 |
| 6 | 69.19 | -0.2461 |
| 7 | 157.77 | -0.0717 |
| 8 | 427.07 | -0.0899 |